The following is a DFT calculation (meta-GGA SCAN) of a PBEsol-optimized structure of Tc2GeN.

```
Tc2GeN
1.0
4.078 0.000 0.000
2.039 3.532 0.000
2.039 1.177 3.330
Ge Tc N
1 2 1
direct
0.500 0.500 0.500
0.250 0.250 0.250
0.750 0.750 0.750
0.000 0.000 0.000
```

Summary:
E_form (uncorrected)   781.8 meV/atom